First-principles (PBE) data for a geometry-optimized RbIn6Ge2 structure, as listed in the Alexandria database.

## Properties
Space group: P4/mmm
Energy relative to the elements, eV per atom: 0.02
DOS at the Fermi energy, states/eV/cell: 3.414

Lattice parameters (Å, degrees): 4.722 4.722 11.306 90.00 90.00 90.00
Positions (direct):
In  0.000  0.500  0.275
In  0.500  0.000  0.725
In  0.000  0.000  0.500
In  0.500  0.000  0.275
In  0.500  0.500  0.500
In  0.000  0.500  0.725
Ge  0.500  0.500  0.883
Ge  0.500  0.500  0.117
Rb  0.000  0.000  0.000

First-principles (PBE) data for a geometry-optimized RbIn3Ge structure, as listed in the Alexandria database.

## Properties
ΔE to the lowest computed polymorph, meV/atom: 0
Space group: C2/c
Energy relative to the elements, eV per atom: -0.02
DOS at the Fermi energy, states/eV/cell: 5.907

Lattice parameters (Å, degrees): 7.235 9.875 9.875 68.21 78.60 78.60
Positions (direct):
Ge  0.708  0.452  0.781
Ge  0.208  0.781  0.452
Ge  0.792  0.219  0.548
Ge  0.292  0.548  0.219
In  0.434  0.018  0.348
In  0.606  0.318  0.286
In  0.066  0.652  0.982
In  0.394  0.682  0.714
In  0.118  0.989  0.642
In  0.882  0.011  0.358
In  0.106  0.286  0.318
In  0.566  0.982  0.652
In  0.934  0.348  0.018
In  0.382  0.358  0.011
In  0.618  0.642  0.989
In  0.894  0.714  0.682
Rb  0.250  0.366  0.634
Rb  0.750  0.052  0.948
Rb  0.750  0.634  0.366
Rb  0.250  0.948  0.052